# 1
VASP calculation (GGA-PBE) on a geometry-optimized Nd9Dy2Th structure.

a b c (Å): 5.1600 5.1600 15.4827
angles (deg): 90.00 90.00 90.00
Element x y z (fractional)
Nd1 0.0000 0.0000 0.0000
Nd2 0.0000 0.0000 0.3352
Nd3 0.0000 0.0000 0.6648
Nd4 0.0000 0.5000 0.1648
Nd5 0.0000 0.5000 0.5000
Nd6 0.0000 0.5000 0.8352
Nd7 0.5000 0.0000 0.1648
Nd8 0.5000 0.0000 0.5000
Nd9 0.5000 0.0000 0.8352
Dy1 0.5000 0.5000 0.3339
Dy2 0.5000 0.5000 0.6661
Th1 0.5000 0.5000 0.0000

magnetization	0.0	μB/cell
VASP energy	-4.930	eV/atom
N(E_F)	19.61	states/eV/cell

=====

# 2
VASP calculation (GGA-PBE) on a geometry-optimized Nd3HoCd2 structure.

a b c (Å): 7.8374 7.8374 4.8118
angles (deg): 90.00 90.00 143.07
Element x y z (fractional)
Nd1 0.0000 0.0000 0.0000
Nd2 0.3279 0.6721 0.0000
Nd3 0.6721 0.3279 0.0000
Ho1 0.5000 0.5000 0.5000
Cd1 0.1640 0.8360 0.5000
Cd2 0.8360 0.1640 0.5000

distance to the lowest polymorph of the same formula	54.5	meV/atom
magnetization	0.0	μB/cell
N(E_F)	6.88	states/eV/cell

=====

# 3
VASP calculation (GGA-PBE) on a geometry-optimized Sm2Dy8Sc3 structure.

a b c (Å): 8.6436 8.6436 5.9324
angles (deg): 108.21 108.21 80.80
Element x y z (fractional)
Sm1 0.1806 0.1806 0.3416
Sm2 0.8194 0.8194 0.6584
Dy1 0.0865 0.0865 0.7749
Dy2 0.1117 0.5780 0.3512
Dy3 0.3639 0.3639 0.8873
Dy4 0.4220 0.8883 0.6488
Dy5 0.5780 0.1117 0.3512
Dy6 0.6361 0.6361 0.1127
Dy7 0.8883 0.4220 0.6488
Dy8 0.9135 0.9135 0.2251
Sc1 0.2358 0.7642 0.0000
Sc2 0.5000 0.5000 0.5000
Sc3 0.7642 0.2358 0.0000

distance to the lowest polymorph of the same formula	0.0	meV/atom
magnetization	0.0	μB/cell
N(E_F)	18.77	states/eV/cell

=====

# 4
VASP calculation (GGA-PBE) on a geometry-optimized ZrTcS4 structure.

a b c (Å): 6.1872 6.0054 6.0423
angles (deg): 90.00 93.06 90.00
Element x y z (fractional)
Zr1 0.0000 0.0000 0.0000
Zr2 0.0000 0.5000 0.5000
Tc1 0.5000 0.0000 0.5000
Tc2 0.5000 0.5000 0.0000
S1 0.1554 0.1324 0.3761
S2 0.1554 0.3676 0.8761
S3 0.3834 0.6384 0.3521
S4 0.3834 0.8616 0.8521
S5 0.6166 0.1384 0.1479
S6 0.6166 0.3616 0.6479
S7 0.8446 0.6324 0.1239
S8 0.8446 0.8676 0.6239

energy relative to the elements, uncorrected	-0.65	eV/atom
magnetization	1.8	μB/cell
N(E_F)	9.04	states/eV/cell

=====

# 5
VASP calculation (GGA-PBE) on a geometry-optimized Rb3HoTm3Te8 structure.

a b c (Å): 10.1756 10.1756 10.1756
angles (deg): 50.82 50.82 50.82
Element x y z (fractional)
Rb1 0.0000 0.5000 0.5000
Rb2 0.5000 0.0000 0.5000
Rb3 0.5000 0.5000 0.0000
Ho1 0.5000 0.5000 0.5000
Tm1 0.0000 0.0000 0.5000
Tm2 0.0000 0.5000 0.0000
Tm3 0.5000 0.0000 0.0000
Te1 0.2285 0.7348 0.7348
Te2 0.2325 0.2325 0.2325
Te3 0.2652 0.2652 0.7715
Te4 0.2652 0.7715 0.2652
Te5 0.7348 0.2285 0.7348
Te6 0.7348 0.7348 0.2285
Te7 0.7675 0.7675 0.7675
Te8 0.7715 0.2652 0.2652

energy relative to the elements, uncorrected	-1.30	eV/atom
magnetization	0.0	μB/cell
N(E_F)	6.16	states/eV/cell

=====

# 6
VASP calculation (GGA-PBE) on a geometry-optimized AcEuSbTe structure.

a b c (Å): 5.7174 5.7174 5.7174
angles (deg): 60.00 60.00 60.00
Element x y z (fractional)
Ac1 0.0000 0.0000 0.0000
Eu1 0.5000 0.5000 0.5000
Sb1 0.2500 0.2500 0.2500
Te1 0.7500 0.7500 0.7500

energy relative to the elements, uncorrected	-1.20	eV/atom
magnetization	7.0	μB/cell
N(E_F)	8.21	states/eV/cell